Computed, not measured: an optimized crystal structure of MgCd2Ir at the PBEsol level of DFT.

Cell: 4.021 4.021 8.502 Å, 90.00 90.00 90.00°
Space group I4/mmm (No. 139)
Asymmetric unit:
Mg 0.000 0.000 0.000 x2
Cd 0.000 0.500 0.250 x4
Ir 0.000 0.000 0.500 x2

## Properties
For the total energy, the calculation gives -3.589 eV per atom.

Computed, not measured: an optimized crystal structure of MgCdIr at the PBEsol level of DFT.

Cell: 6.233 6.233 6.233 Å, 90.00 90.00 90.00°
Space group F-43m (No. 216)
Asymmetric unit:
Mg 0.000 0.000 0.000 x4
Cd 0.000 0.000 0.500 x4
Ir 0.250 0.250 0.750 x4

## Properties
For the total energy, the calculation gives -4.083 eV per atom.

Computed, not measured: an optimized crystal structure of Mg3CdIr at the PBEsol level of DFT.

Cell: 4.946 4.946 4.946 Å, 90.00 90.00 90.00°
Space group Pm-3m (No. 221)
Asymmetric unit:
Mg 0.000 0.000 0.500 x3
Cd 0.500 0.500 0.500 x1
Ir 0.000 0.000 0.000 x1

## Properties
For the total energy, the calculation gives -3.107 eV per atom. The calculation puts the energy above the most stable polymorph in this dataset at 0 meV per atom.

What is the total energy in the second record? -4.083 eV per atom

Copy entry 3 word for word.
Computed, not measured: an optimized crystal structure of Mg3CdIr at the PBEsol level of DFT.

Cell: 4.946 4.946 4.946 Å, 90.00 90.00 90.00°
Space group Pm-3m (No. 221)
Asymmetric unit:
Mg 0.000 0.000 0.500 x3
Cd 0.500 0.500 0.500 x1
Ir 0.000 0.000 0.000 x1

## Properties
For the total energy, the calculation gives -3.107 eV per atom. The calculation puts the energy above the most stable polymorph in this dataset at 0 meV per atom.

What is the formula in the first record? MgCd2Ir

Copy entry 1 word for word.
Computed, not measured: an optimized crystal structure of MgCd2Ir at the PBEsol level of DFT.

Cell: 4.021 4.021 8.502 Å, 90.00 90.00 90.00°
Space group I4/mmm (No. 139)
Asymmetric unit:
Mg 0.000 0.000 0.000 x2
Cd 0.000 0.500 0.250 x4
Ir 0.000 0.000 0.500 x2

## Properties
For the total energy, the calculation gives -3.589 eV per atom.